This record from Alexandria describes a geometry-optimized RbSrSb structure. The functional is PBE.

Values from the calculation:
E_tot, eV/f.u.: -9.11
E_form (uncorrected), eV/atom: -0.778
Total magnetization, μB per formula unit: 0.0

Cell lengths 9.452, 5.561, 9.763 Å; angles 90.00, 90.00, 90.00 degrees
Space group Pnma (No. 62)
Inequivalent atoms, fractional coordinates:
Rb 0.014 0.250 0.170 (multiplicity 4)
Sr 0.147 0.250 0.579 (multiplicity 4)
Sb 0.207 0.750 0.394 (multiplicity 4)

=====

This record from Alexandria describes a geometry-optimized AsPPtS2 structure. The functional is PBE.

Values from the calculation:
D(E_F), states/eV/f.u.: 4.14
E_tot, eV/f.u.: -20.62
E_form (uncorrected), eV/atom: 0.748
Total magnetization, μB per formula unit: 0.0
Energy relative to the lowest polymorph listed for this composition, meV/atom: 0

Cell lengths 4.777, 4.777, 4.546 Å; angles 90.00, 90.00, 90.00 degrees
Space group P4/mmm (No. 123)
Inequivalent atoms, fractional coordinates:
As 0.000 0.000 0.000 (multiplicity 1)
P 0.500 0.500 0.000 (multiplicity 1)
Pt 0.500 0.500 0.500 (multiplicity 1)
S 0.000 0.500 0.500 (multiplicity 2)

=====

This record from Alexandria describes a geometry-optimized Sm2SeCl3 structure. The functional is PBE.

Values from the calculation:
D(E_F), states/eV/f.u.: 2.09
E_tot, eV/f.u.: -30.41
E_form (uncorrected), eV/atom: -1.992
Total magnetization, μB per formula unit: 0.0

Cell lengths 16.370, 4.260, 12.808 Å; angles 90.00, 123.75, 90.00 degrees
Space group C2/m (No. 12)
Inequivalent atoms, fractional coordinates:
Sm 0.105 0.000 0.447 (multiplicity 4)
Sm 0.128 0.500 0.835 (multiplicity 4)
Se 0.114 0.000 0.683 (multiplicity 4)
Cl 0.067 0.500 0.272 (multiplicity 4)
Cl 0.163 0.000 0.010 (multiplicity 4)
Cl 0.232 0.500 0.589 (multiplicity 4)

=====

This record from Alexandria describes a geometry-optimized Mg5Hg2Bi3 structure. The functional is PBE.

Values from the calculation:
D(E_F), states/eV/f.u.: 3.09
E_tot, eV/f.u.: -21.53
Formation energy, kcal/mol of atoms: -3.02
Total magnetization, μB per formula unit: 0.0

Cell lengths 4.829, 34.050, 6.397 Å; angles 90.00, 90.00, 90.00 degrees
Space group Cmc2_1 (No. 36)
Inequivalent atoms, fractional coordinates:
Mg 0.000 0.035 0.000 (multiplicity 4)
Mg 0.000 0.136 0.101 (multiplicity 4)
Mg 0.000 0.302 0.752 (multiplicity 4)
Mg 0.000 0.314 0.251 (multiplicity 4)
Mg 0.000 0.390 0.933 (multiplicity 4)
Hg 0.000 0.168 0.513 (multiplicity 4)
Hg 0.000 0.487 0.768 (multiplicity 4)
Bi 0.000 0.057 0.517 (multiplicity 4)
Bi 0.000 0.223 0.970 (multiplicity 4)
Bi 0.000 0.400 0.427 (multiplicity 4)

=====

This record from Alexandria describes a geometry-optimized Tb6Tl4In structure. The functional is PBE.

Values from the calculation:
D(E_F), states/eV/f.u.: 11.13
E_tot, eV/f.u.: -40.02
Formation energy, kcal/mol of atoms: -0.08
Total magnetization, μB per formula unit: 0.0

Cell lengths 7.841, 7.841, 11.618 Å; angles 90.00, 90.00, 90.00 degrees
Space group I-42m (No. 121)
Inequivalent atoms, fractional coordinates:
Tb 0.000 0.500 0.000 (multiplicity 4)
Tb 0.175 0.175 0.279 (multiplicity 8)
Tl 0.168 0.168 0.572 (multiplicity 8)
In 0.000 0.000 0.000 (multiplicity 2)

=====

This record from Alexandria describes a geometry-optimized KZnIN2 structure. The functional is PBE.

Values from the calculation:
D(E_F), states/eV/f.u.: 4.64
E_tot, eV/f.u.: -11.74
E_form (uncorrected), eV/atom: 1.766
Total magnetization, μB per formula unit: 5.3
Energy relative to the lowest polymorph listed for this composition, meV/atom: 796

Cell lengths 5.332, 5.332, 6.987 Å; angles 90.00, 90.00, 90.00 degrees
Space group P4/mmm (No. 123)
Inequivalent atoms, fractional coordinates:
K 0.000 0.000 0.000 (multiplicity 1)
Zn 0.500 0.500 0.500 (multiplicity 1)
I 0.000 0.000 0.500 (multiplicity 1)
N 0.000 0.500 0.000 (multiplicity 2)